Entry 1:
Material: Gd2DyMg4Tl2
Method: DFT, PBE
State: optimized geometry

Output
Theoretical density ... 6.98 g/cm3
Energy ... -3.01 eV per atom
Size of the total moment ... 0.00 μB/f.u.

Cell and atoms, written as POSCAR:
```
Gd2DyMg4Tl2
1.0
4.6571 0.0000 0.0000
0.0000 6.5834 3.8156
0.0000 -6.5834 3.8156
Gd Dy Mg Tl
2 1 4 2
Cartesian
0.0000 -3.7278 3.8156
0.0000 3.7278 3.8156
0.0000 0.0000 2.6598
0.0000 0.0000 5.9583
2.3286 0.0000 0.1897
2.3286 -1.5985 5.0451
2.3286 1.5985 5.0451
2.3286 -2.1847 2.1613
2.3286 2.1847 2.1613
```

Entry 2:
Material: Si2NiPd
Method: DFT, PBE
State: optimized geometry

Output
Theoretical density ... 6.87 g/cm3
Energy ... -5.40 eV per atom
Energy above the most stable polymorph in this dataset ... 0.3153 eV/atom
Size of the total moment ... 0.00 μB/f.u.

Cell and atoms, written as POSCAR:
```
Si2NiPd
1.0
5.9797 0.0000 0.0000
0.0000 5.9797 0.0000
0.0000 0.0000 5.9797
Si Ni Pd
8 4 4
Cartesian
0.0000 0.0000 0.0000
0.0000 2.9899 2.9899
1.4949 1.4949 1.4949
1.4949 4.4848 4.4848
2.9899 0.0000 2.9899
2.9899 2.9899 0.0000
4.4848 1.4949 4.4848
4.4848 4.4848 1.4949
0.0000 0.0000 2.9899
0.0000 2.9899 0.0000
2.9899 0.0000 0.0000
2.9899 2.9899 2.9899
1.4949 1.4949 4.4848
1.4949 4.4848 1.4949
4.4848 1.4949 1.4949
4.4848 4.4848 4.4848
```

- size of the total moment of number 1 (Gd2DyMg4Tl2)?
  0.00 μB/f.u.

- The highest energy belongs to which entry?
  Gd2DyMg4Tl2

- Look up the theoretical density of the first one.
  6.98 g/cm3

Please write out number 1 again, unchanged.
Material: Gd2DyMg4Tl2
Method: DFT, PBE
State: optimized geometry

Output
Theoretical density ... 6.98 g/cm3
Energy ... -3.01 eV per atom
Size of the total moment ... 0.00 μB/f.u.

Cell and atoms, written as POSCAR:
```
Gd2DyMg4Tl2
1.0
4.6571 0.0000 0.0000
0.0000 6.5834 3.8156
0.0000 -6.5834 3.8156
Gd Dy Mg Tl
2 1 4 2
Cartesian
0.0000 -3.7278 3.8156
0.0000 3.7278 3.8156
0.0000 0.0000 2.6598
0.0000 0.0000 5.9583
2.3286 0.0000 0.1897
2.3286 -1.5985 5.0451
2.3286 1.5985 5.0451
2.3286 -2.1847 2.1613
2.3286 2.1847 2.1613
```